No. 1
5
Lattice="-3.005 -0.822 -3.681 2.061 -3.472 -0.908 -2.908 -2.493 2.931" Properties=species:S:1:pos:R:3 comment="TiMnZn2Ni, relaxed, DFT PBE" ef_ev_per_atom=1.22 total_magnetization_mub_per_fu=0.8 crystal_system=tetragonal pbc="T T T"
Zn -1.454 -1.246 1.465
Zn -1.503 -0.411 -1.841
Ti 0.000 0.000 0.000
Mn 1.031 -1.736 -0.454
Ni -1.926 -3.393 -0.829

No. 2
8
Lattice="7.177 0.000 0.000 0.000 7.177 0.000 3.588 3.588 2.661" Properties=species:S:1:pos:R:3 comment="Mn2TlNi, relaxed, DFT PBE" ef_ev_per_atom=0.58 total_magnetization_mub_per_fu=7.8 crystal_system=tetragonal pbc="T T T"
Ni 3.588 3.588 0.000
Ni 3.588 7.177 1.330
Tl 7.177 3.588 1.330
Tl 0.000 0.000 0.000
Mn 8.971 8.633 1.996
Mn 5.383 5.721 1.996
Mn 5.044 1.794 0.665
Mn 2.133 5.383 0.665

No. 3
5
Lattice="4.409 0.000 0.000 0.000 4.409 0.000 0.000 0.000 4.409" Properties=species:S:1:pos:R:3 comment="MnTlNi3, relaxed, DFT PBE" ef_ev_per_atom=0.90 total_magnetization_mub_per_fu=5.0 crystal_system=cubic pbc="T T T"
Tl 2.204 2.204 2.204
Ni 0.000 2.204 0.000
Ni 2.204 0.000 0.000
Ni 0.000 0.000 2.204
Mn 0.000 0.000 0.000

No. 4
4
Lattice="-2.931 2.202 -3.701 -2.045 -0.793 -4.724 -4.186 -1.235 -0.006" Properties=species:S:1:pos:R:3 comment="Mn2TlNi, relaxed, DFT PBE" ef_ev_per_atom=0.37 total_magnetization_mub_per_fu=7.9 crystal_system=monoclinic pbc="T T T"
Tl -6.885 0.176 -6.469
Mn -4.969 1.398 -8.387
Mn -2.270 -0.026 -1.888
Ni -4.595 0.121 -4.327

No. 5
4
Lattice="-0.428 3.887 2.804 -3.669 3.033 0.704 -2.013 -0.622 3.358" Properties=species:S:1:pos:R:3 comment="Mn2TlNi, relaxed, DFT PBE" ef_ev_per_atom=0.34 total_magnetization_mub_per_fu=7.3 crystal_system=tetragonal pbc="T T T"
Mn -4.096 6.918 3.508
Mn -3.056 3.151 3.433
Tl -4.582 4.723 5.150
Ni -1.527 1.574 1.717

No. 6
4
Lattice="-2.820 -0.022 2.745 -1.337 -3.428 -1.401 2.414 -1.948 2.464" Properties=species:S:1:pos:R:3 comment="Mn2TlNi, relaxed, DFT PBE" ef_ev_per_atom=0.35 total_magnetization_mub_per_fu=7.1 crystal_system=tetragonal pbc="T T T"
Mn 0.000 0.000 0.000
Mn -2.078 -1.725 0.672
Ni -0.203 -0.985 2.605
Tl 0.538 -2.688 0.532

No. 7
4
Lattice="0.000 3.163 3.163 3.163 0.000 3.163 3.163 3.163 0.000" Properties=species:S:1:pos:R:3 comment="Mn2TlNi, relaxed, DFT PBE" ef_ev_per_atom=0.37 total_magnetization_mub_per_fu=7.9 crystal_system=cubic pbc="T T T"
Mn 4.744 4.744 4.744
Mn 1.581 1.581 1.581
Ni 0.000 0.000 0.000
Tl 3.163 3.163 3.163

No. 8
4
Lattice="4.647 0.004 -0.001 -1.299 4.462 -0.001 0.002 0.003 3.031" Properties=species:S:1:pos:R:3 comment="Mn2TlNi, relaxed, DFT PBE" ef_ev_per_atom=0.42 total_magnetization_mub_per_fu=7.5 crystal_system=orthorhombic pbc="T T T"
Mn 0.000 0.000 0.000
Mn 1.674 2.233 -0.001
Tl -0.649 2.232 1.515
Ni 2.325 0.003 1.515